Density functional theory data (PBE) for a relaxed structure of MnSi3Au. Values from VASP.

Results
- formation energy without anion corrections (eV/f.u.) = 1.2
- N(E_F) (states/eV/cell) = 0.002
- theoretical density (g cm⁻³) = 6.48
- uncorrected energy (eV per cell) = -27.5

Cell and atoms, written as Quantum ESPRESSO input:
```
&SYSTEM
  ibrav = 0, nat = 5, ntyp = 3
/
ATOMIC_SPECIES
Mn 54.94 Mn.upf
Si 28.09 Si.upf
Au 196.97 Au.upf
CELL_PARAMETERS angstrom
4.4163 0.0000 0.0000
0.0000 4.4163 0.0000
0.0000 0.0000 4.4163
ATOMIC_POSITIONS angstrom
Mn 0.0000 0.0000 0.0000
Si 0.0000 0.0000 2.2081
Si 0.0000 2.2081 0.0000
Si 2.2081 0.0000 0.0000
Au 2.2081 2.2081 2.2081
```

Density functional theory data (PBE) for a relaxed structure of TmScBeGa. Values from VASP.

Results
- N(E_F) (states/eV/cell) = 3.253
- theoretical density (g cm⁻³) = 6.42
- ΔH_f (0 K) (eV per atom) = -0.2843
- uncorrected energy (eV per cell) = -18.7

Cell and atoms, written as Quantum ESPRESSO input:
```
&SYSTEM
  ibrav = 0, nat = 4, ntyp = 4
/
ATOMIC_SPECIES
Tm 168.93 Tm.upf
Sc 44.96 Sc.upf
Be 9.01 Be.upf
Ga 69.72 Ga.upf
CELL_PARAMETERS angstrom
0.0000 3.3572 3.3572
3.3572 0.0000 3.3572
3.3572 3.3572 0.0000
ATOMIC_POSITIONS angstrom
Tm 0.0000 0.0000 0.0000
Sc 3.3572 3.3572 3.3572
Be 5.0358 5.0358 5.0358
Ga 1.6786 1.6786 1.6786
```

Density functional theory data (PBE) for a relaxed structure of V2FeNi7As2. Values from VASP.

Results
- N(E_F) (states/eV/cell) = 9.199
- theoretical density (g cm⁻³) = 8.11
- ΔH_f (0 K) (eV per atom) = -0.1186
- uncorrected energy (eV per cell) = -77.9

Cell and atoms, written as Quantum ESPRESSO input:
```
&SYSTEM
  ibrav = 0, nat = 12, ntyp = 4
/
ATOMIC_SPECIES
V 50.94 V.upf
Fe 55.84 Fe.upf
Ni 58.69 Ni.upf
As 74.92 As.upf
CELL_PARAMETERS angstrom
2.5121 -2.5083 0.0000
2.5121 2.5083 0.0000
-0.0237 0.0000 11.6760
ATOMIC_POSITIONS angstrom
V -0.0009 0.0000 3.8255
V 5.0014 0.0000 7.8505
Fe 2.5121 0.0000 0.0000
Ni 0.0000 0.0000 0.0000
Ni 1.2558 1.2545 1.7864
Ni 1.2609 0.0000 5.8450
Ni 3.7447 1.2545 9.8896
Ni 1.2558 -1.2545 1.7864
Ni 3.7395 0.0000 5.8310
Ni 3.7447 -1.2545 9.8896
As 2.4899 0.0000 8.1658
As 2.5105 0.0000 3.5102
```

Density functional theory data (PBE) for a relaxed structure of LiBe2Ir2. Values from VASP.

Results
- N(E_F) (states/eV/cell) = 4.619
- theoretical density (g cm⁻³) = 12.32
- ΔH_f (0 K) (eV per atom) = -0.4538
- uncorrected energy (eV per cell) = -58.7

Cell and atoms, written as Quantum ESPRESSO input:
```
&SYSTEM
  ibrav = 0, nat = 10, ntyp = 3
/
ATOMIC_SPECIES
Li 6.94 Li.upf
Be 9.01 Be.upf
Ir 192.22 Ir.upf
CELL_PARAMETERS angstrom
6.0864 0.0000 0.0000
0.0000 6.0864 0.0000
0.0000 0.0000 2.9791
ATOMIC_POSITIONS angstrom
Li 0.0000 0.0000 0.0000
Li 3.0432 3.0432 0.0000
Be 0.7696 2.2736 0.0000
Be 2.2736 5.3168 0.0000
Be 3.8128 0.7696 0.0000
Be 5.3168 3.8128 0.0000
Ir 1.0228 4.0660 1.4895
Ir 2.0204 1.0228 1.4895
Ir 4.0660 5.0636 1.4895
Ir 5.0636 2.0204 1.4895
```

Density functional theory data (PBE) for a relaxed structure of Pr2Sm5Tl4. Values from VASP.

Results
- N(E_F) (states/eV/cell) = 12.781
- theoretical density (g cm⁻³) = 9.18
- ΔH_f (0 K) (eV per atom) = -0.1819
- uncorrected energy (eV per cell) = -44.6

Cell and atoms, written as Quantum ESPRESSO input:
```
&SYSTEM
  ibrav = 0, nat = 11, ntyp = 3
/
ATOMIC_SPECIES
Pr 140.91 Pr.upf
Sm 150.36 Sm.upf
Tl 204.38 Tl.upf
CELL_PARAMETERS angstrom
8.8000 0.0000 0.0000
0.0000 3.5625 0.0000
-1.1770 0.0000 10.6828
ATOMIC_POSITIONS angstrom
Pr 0.6067 0.0000 1.4917
Pr 7.0164 0.0000 9.1911
Sm 0.6818 0.0000 6.8725
Sm 3.8864 0.0000 1.7785
Sm 3.8115 0.0000 5.3414
Sm 3.7367 0.0000 8.9043
Sm 6.9412 0.0000 3.8103
Tl 1.3183 1.7813 4.1414
Tl 1.1278 1.7813 9.8245
Tl 6.4952 1.7813 0.8583
Tl 6.3048 1.7813 6.5414
```

Density functional theory data (PBE) for a relaxed structure of IrAuSe2. Values from VASP.

Results
- formation energy without anion corrections (eV/f.u.) = 2.7
- N(E_F) (states/eV/cell) = 4.205
- theoretical density (g cm⁻³) = 12.76
- uncorrected energy (eV per cell) = -16.4

Cell and atoms, written as Quantum ESPRESSO input:
```
&SYSTEM
  ibrav = 0, nat = 4, ntyp = 3
/
ATOMIC_SPECIES
Ir 192.22 Ir.upf
Au 196.97 Au.upf
Se 78.96 Se.upf
CELL_PARAMETERS angstrom
2.9127 0.0000 0.0000
0.0000 4.7591 0.0000
0.0000 0.0000 5.1362
ATOMIC_POSITIONS angstrom
Ir 0.0000 0.0000 0.0000
Au 1.4563 0.0000 2.5681
Se 0.0000 2.3796 2.5681
Se 1.4563 2.3796 0.0000
```

Density functional theory data (PBE) for a relaxed structure of Tc3As5. Values from VASP.

Results
- N(E_F) (states/eV/cell) = 6.775
- theoretical density (g cm⁻³) = 8.76
- ΔH_f (0 K) (eV per atom) = 0.2096
- uncorrected energy (eV per cell) = -52.7

Cell and atoms, written as Quantum ESPRESSO input:
```
&SYSTEM
  ibrav = 0, nat = 8, ntyp = 2
/
ATOMIC_SPECIES
Tc 98.00 Tc.upf
As 74.92 As.upf
CELL_PARAMETERS angstrom
3.2098 -4.5547 0.0000
3.2098 4.5547 0.0000
0.0000 0.0000 4.3334
ATOMIC_POSITIONS angstrom
Tc 0.0000 0.0000 0.0000
Tc 3.2098 2.3950 2.1667
Tc 3.2098 -2.3950 2.1667
As 1.6049 2.2774 0.0000
As 1.4440 0.0000 2.1667
As 1.6049 -2.2774 0.0000
As 3.2098 0.0000 0.0000
As 4.9755 0.0000 2.1667
```

Density functional theory data (PBE) for a relaxed structure of Hf6Ru2O. Values from VASP.

Results
- formation energy without anion corrections (eV/f.u.) = -7.3
- N(E_F) (states/eV/cell) = 15.231
- theoretical density (g cm⁻³) = 12.76
- uncorrected energy (eV per cell) = -181.0

Cell and atoms, written as Quantum ESPRESSO input:
```
&SYSTEM
  ibrav = 0, nat = 18, ntyp = 3
/
ATOMIC_SPECIES
Hf 178.49 Hf.upf
Ru 101.07 Ru.upf
O 16.00 O.upf
CELL_PARAMETERS angstrom
5.8313 0.0000 0.0000
0.0000 6.3655 0.0000
-5.2833 0.0000 9.0360
ATOMIC_POSITIONS angstrom
Hf -1.6469 1.1775 4.0213
Hf -4.2886 2.0053 8.5394
Hf -0.7315 4.3070 4.0249
Hf -3.3731 5.2413 8.5429
Hf 0.8779 0.1659 2.2648
Hf -1.7638 3.0169 6.7828
Hf 2.3117 3.3487 2.2532
Hf -0.3300 6.1996 6.7713
Hf 3.9211 1.1242 0.4931
Hf 1.2794 2.0585 5.0111
Hf 4.8365 4.3603 0.4967
Hf 2.1948 5.1880 5.0147
Ru -2.8819 0.7040 6.6658
Ru -0.2402 2.4787 2.1478
Ru 0.7881 3.8868 6.8882
Ru 3.4298 5.6615 2.3702
O 0.2740 0.0000 4.5180
O 2.9156 3.1828 0.0000
```

Density functional theory data (PBE) for a relaxed structure of LaTbCeY3. Values from VASP.

Results
- N(E_F) (states/eV/cell) = 31.717
- theoretical density (g cm⁻³) = 5.86
- ΔH_f (0 K) (eV per atom) = 0.1494
- uncorrected energy (eV per cell) = -68.0

Cell and atoms, written as Quantum ESPRESSO input:
```
&SYSTEM
  ibrav = 0, nat = 12, ntyp = 4
/
ATOMIC_SPECIES
La 138.91 La.upf
Tb 158.93 Tb.upf
Ce 140.12 Ce.upf
Y 88.91 Y.upf
CELL_PARAMETERS angstrom
2.9510 -5.7404 0.0000
2.9510 5.7404 0.0000
0.0000 0.0000 11.7961
ATOMIC_POSITIONS angstrom
La 0.0000 0.0000 0.0000
La 0.0000 0.0000 5.8980
Tb 2.9510 3.7413 8.8471
Tb 2.9510 -3.7413 2.9490
Ce 2.9510 -0.0045 2.9490
Ce 2.9510 0.0045 8.8471
Y 2.9510 3.7423 2.9490
Y 2.9510 1.9439 11.7935
Y 2.9510 1.9439 5.9006
Y 2.9510 -1.9439 0.0025
Y 2.9510 -1.9439 5.8955
Y 2.9510 -3.7423 8.8471
```

Density functional theory data (PBE) for a relaxed structure of Er2Ni5Ge4. Values from VASP.

Results
- N(E_F) (states/eV/cell) = 8.735
- theoretical density (g cm⁻³) = 8.74
- ΔH_f (0 K) (eV per atom) = -0.5325
- uncorrected energy (eV per cell) = -62.4

Cell and atoms, written as Quantum ESPRESSO input:
```
&SYSTEM
  ibrav = 0, nat = 11, ntyp = 3
/
ATOMIC_SPECIES
Er 167.26 Er.upf
Ni 58.69 Ni.upf
Ge 72.64 Ge.upf
CELL_PARAMETERS angstrom
0.0000 4.6487 7.0298
2.6699 0.0000 7.0298
2.6699 4.6487 0.0000
ATOMIC_POSITIONS angstrom
Er 2.6699 4.6487 1.9345
Er 2.6699 4.6487 12.1252
Ni 1.3349 2.3244 0.0000
Ni 1.3349 2.3244 3.5149
Ni 1.3349 2.3244 7.0298
Ni 2.6699 4.6487 7.0298
Ni 4.0048 6.9731 10.5448
Ge 2.6699 3.2281 5.1903
Ge 2.6699 3.2281 8.8694
Ge 2.6699 6.0694 5.1903
Ge 2.6699 6.0694 8.8694
```

Density functional theory data (PBE) for a relaxed structure of Tb2ZrS2N2. Values from VASP.

Results
- formation energy without anion corrections (eV/f.u.) = -11.6
- N(E_F) (states/eV/cell) = 0.056
- theoretical density (g cm⁻³) = 6.66
- uncorrected energy (eV per cell) = -54.3

Cell and atoms, written as Quantum ESPRESSO input:
```
&SYSTEM
  ibrav = 0, nat = 7, ntyp = 4
/
ATOMIC_SPECIES
Tb 158.93 Tb.upf
Zr 91.22 Zr.upf
S 32.06 S.upf
N 14.01 N.upf
CELL_PARAMETERS angstrom
-2.1053 2.1053 7.0514
2.1053 -2.1053 7.0514
2.1053 2.1053 -7.0514
ATOMIC_POSITIONS angstrom
Tb 0.0000 0.0000 1.6495
Tb 0.0000 0.0000 12.4533
Zr 0.0000 0.0000 7.0514
S 0.0000 0.0000 4.4599
S 0.0000 0.0000 9.6429
N 2.1053 0.0000 0.0000
N 0.0000 2.1053 0.0000
```

Density functional theory data (PBE) for a relaxed structure of HoBRu3. Values from VASP.

Results
- N(E_F) (states/eV/cell) = 9.508
- theoretical density (g cm⁻³) = 11.01
- ΔH_f (0 K) (eV per atom) = -0.2774
- uncorrected energy (eV per cell) = -80.9

Cell and atoms, written as Quantum ESPRESSO input:
```
&SYSTEM
  ibrav = 0, nat = 10, ntyp = 3
/
ATOMIC_SPECIES
Ho 164.93 Ho.upf
B 10.81 B.upf
Ru 101.07 Ru.upf
CELL_PARAMETERS angstrom
4.0430 -5.7211 0.0000
4.0430 5.7211 0.0000
0.0000 0.0000 3.1227
ATOMIC_POSITIONS angstrom
Ho 4.0430 3.3413 0.0000
Ho 4.0430 -3.3413 0.0000
B 1.6989 0.0000 0.0000
B 6.3871 0.0000 0.0000
Ru 0.0000 0.0000 1.5614
Ru 2.4067 1.4218 1.5614
Ru 2.4067 -1.4218 1.5614
Ru 4.0430 0.0000 0.0000
Ru 5.6793 1.4218 1.5614
Ru 5.6793 -1.4218 1.5614
```